YV2CrHg | PBE-GGA | relaxed

Lattice parameters (Å, degrees): 5.0647 5.0647 5.0251 90.00 90.00 90.00
Last column: nearest neighbours and their distance in Å.
Space group P4/mmm (No. 123)
Inequivalent atoms, fractional coordinates:
Y 0.0000 0.0000 0.0000 x1  8 V 3.57, 4 Cr 3.58
V 0.0000 0.5000 0.5000 x2  2 Hg 2.53
Cr 0.5000 0.5000 0.0000 x1  2 Hg 2.51
Hg 0.5000 0.5000 0.5000 x1  2 Cr 2.51, 4 V 2.53

Values from the calculation:
Volume, Å³ per cell: 129
Raw total energy, eV/cell: -28.15
Formation energy, kJ/mol of atoms: 125

=====

MoOs2 | PBE-GGA | relaxed

Lattice parameters (Å, degrees): 4.8056 4.4185 8.3609 90.00 90.00 90.00
Last column: nearest neighbours and their distance in Å.
Space group Pnma (No. 62)
Inequivalent atoms, fractional coordinates:
Mo 0.1617 0.2500 0.1623 x4  10 Os 2.72-2.83, 2 Mo 2.81
Os 0.1624 0.2500 0.5013 x4  7 Os 2.70-2.83, 5 Mo 2.72-2.83
Os 0.1732 0.2500 0.8303 x4  5 Mo 2.73-2.78, 7 Os 2.74-2.83

Values from the calculation:
Volume, Å³ per cell: 178
Offset from the most stable computed form, kJ/mol of atoms: 1.3
Raw total energy, eV/cell: -133.23
Formation energy, kJ/mol of atoms: -1

=====

PuPaB | PBE-GGA | relaxed

Lattice parameters (Å, degrees): 3.3815 19.2850 3.1434 90.00 90.00 90.00
Last column: nearest neighbours and their distance in Å.
Space group Cmcm (No. 63)
Inequivalent atoms, fractional coordinates:
Pu 0.0000 0.2267 0.2500 x4  4 Pu 2.48
Pa 0.0000 0.4115 0.2500 x4  6 B 2.65-2.69
B 0.0000 0.0173 0.2500 x4  2 B 1.71

Values from the calculation:
Volume, Å³ per cell: 205
Offset from the most stable computed form, kJ/mol of atoms: 0.0
Raw total energy, eV/cell: -122.93
Formation energy, kJ/mol of atoms: -7

=====

Pa2Ni4P3Pt | PBE-GGA | relaxed

Lattice parameters (Å, degrees): 3.8481 3.8481 10.0432 90.00 90.00 90.00
Last column: nearest neighbours and their distance in Å.
Space group P-4m2 (No. 115)
Inequivalent atoms, fractional coordinates:
Pa 0.0000 0.5000 0.2451 x2  8 Ni 2.88-3.12, 6 P 2.99-3.20, 2 Pt 3.20
Ni 0.0000 0.0000 0.0000 x1  4 P 2.28
Ni 0.0000 0.5000 0.6615 x2  1 P 2.17
Ni 0.5000 0.5000 0.0000 x1  4 P 2.28
P 0.0000 0.5000 0.8778 x2  5 Ni 2.17-2.28
P 0.5000 0.5000 0.5000 x1  4 Ni 2.52, 4 Pt 2.72
Pt 0.0000 0.0000 0.5000 x1  4 Ni 2.52, 4 P 2.72

Values from the calculation:
Volume, Å³ per cell: 149
Raw total energy, eV/cell: -72.78
Formation energy, kJ/mol of atoms: -81

=====

BaRhBr2 | PBE-GGA | relaxed

Lattice parameters (Å, degrees): 4.4754 4.6780 6.3106 90.00 110.60 90.00
Last column: nearest neighbours and their distance in Å.
Space group Pm (No. 6)
Inequivalent atoms, fractional coordinates:
Ba 0.0000 0.0000 0.0000 x1  7 Br 3.27-3.51, 4 Rh 3.55-3.57
Rh 0.3777 0.5000 0.7490 x1  3 Br 2.51-2.60
Br 0.2988 0.0000 0.5950 x1  2 Rh 2.51
Br 0.5931 0.5000 0.1885 x1  1 Rh 2.60

Values from the calculation:
Volume, Å³ per cell: 124
Offset from the most stable computed form, kJ/mol of atoms: 0.0
Raw total energy, eV/cell: -16.17

=====

LaTb3Ru | PBE-GGA | relaxed

Lattice parameters (Å, degrees): 5.4479 5.4479 5.4479 90.00 90.00 90.00
Last column: nearest neighbours and their distance in Å.
Space group Pm-3m (No. 221)
Inequivalent atoms, fractional coordinates:
La 0.0000 0.0000 0.0000 x1  12 Tb 3.85
Tb 0.0000 0.5000 0.5000 x3  2 Ru 2.72
Ru 0.5000 0.5000 0.5000 x1  6 Tb 2.72

Values from the calculation:
Volume, Å³ per cell: 162
Offset from the most stable computed form, kJ/mol of atoms: 12.0
Raw total energy, eV/cell: -28.51
Formation energy, kJ/mol of atoms: -8

=====

Pr2CdSi3Pt4 | PBE-GGA | relaxed

Lattice parameters (Å, degrees): 4.3194 4.3194 10.3075 90.00 90.00 90.00
Last column: nearest neighbours and their distance in Å.
Space group P-4m2 (No. 115)
Inequivalent atoms, fractional coordinates:
Pr 0.0000 0.5000 0.2465 x2  8 Pt 3.24-3.34, 6 Si 3.32-3.39, 2 Cd 3.39
Cd 0.0000 0.0000 0.5000 x1  4 Pt 2.66
Si 0.0000 0.5000 0.8787 x2  5 Pt 2.36-2.50
Si 0.5000 0.5000 0.5000 x1  4 Pt 2.66
Pt 0.0000 0.0000 0.0000 x1  4 Si 2.50
Pt 0.0000 0.5000 0.6498 x2  1 Si 2.36
Pt 0.5000 0.5000 0.0000 x1  4 Si 2.50

Values from the calculation:
Volume, Å³ per cell: 192
Raw total energy, eV/cell: -60.40

=====

La6Pr3Sm2 | PBE-GGA | relaxed

Lattice parameters (Å, degrees): 6.4575 8.2705 8.2732 107.33 97.02 104.91
Last column: nearest neighbours and their distance in Å.
Space group P-1 (No. 2)
Inequivalent atoms, fractional coordinates:
La 0.0463 0.1799 0.4081 x2  2 Sm 3.68-3.71, 5 La 3.68-3.74, 5 Pr 3.71-3.74
La 0.1351 0.5456 0.2267 x2  2 Sm 3.70-3.72, 6 La 3.70-3.73, 4 Pr 3.71-3.74
La 0.3189 0.2713 0.8660 x2  3 Sm 3.67-3.71, 3 Pr 3.68-3.72, 6 La 3.70-3.74
Pr 0.4087 0.6376 0.6839 x2  8 La 3.68-3.74, 2 Sm 3.69-3.71, 2 Pr 3.70-3.74
Pr 0.5000 0.0000 0.5000 x1  2 Pr 3.70, 8 La 3.71-3.72, 2 Sm 3.72
Sm 0.2265 0.9101 0.0457 x2  7 La 3.67-3.72, 3 Pr 3.69-3.72, 2 Sm 3.70-3.73

Values from the calculation:
Volume, Å³ per cell: 398
Offset from the most stable computed form, kJ/mol of atoms: 0.0
Raw total energy, eV/cell: -53.17
Formation energy, kJ/mol of atoms: 2

=====

Pm3Au5Se12 | PBE-GGA | relaxed

Lattice parameters (Å, degrees): 16.2192 16.2192 16.2192 90.00 90.00 90.00
Last column: nearest neighbours and their distance in Å.
Space group Ia-3d (No. 230)
Inequivalent atoms, fractional coordinates:
Pm 0.0000 0.2500 0.1250 x24  8 Se 3.02-3.12
Au 0.0000 0.0000 0.0000 x16  6 Se 2.63
Au 0.0000 0.2500 0.3750 x24  4 Se 2.56
Se 0.0193 0.0603 0.6495 x96  2 Au 2.56-2.63

Values from the calculation:
Volume, Å³ per cell: 4267
Raw total energy, eV/cell: -672.27

=====

BaZrCu2Pb | PBE-GGA | relaxed

Lattice parameters (Å, degrees): 5.0952 5.0952 5.6485 90.00 90.00 90.00
Last column: nearest neighbours and their distance in Å.
Space group P4/mmm (No. 123)
Inequivalent atoms, fractional coordinates:
Ba 0.0000 0.0000 0.0000 x1  4 Zr 3.60, 8 Cu 3.80
Zr 0.5000 0.5000 0.0000 x1  2 Pb 2.82
Cu 0.0000 0.5000 0.5000 x2  2 Pb 2.55
Pb 0.5000 0.5000 0.5000 x1  4 Cu 2.55, 2 Zr 2.82

Values from the calculation:
Volume, Å³ per cell: 147
Raw total energy, eV/cell: -19.33
Formation energy, kJ/mol of atoms: 59

=====

KNa2P2 | PBE-GGA | relaxed

Lattice parameters (Å, degrees): 4.7527 4.7527 11.3347 90.00 90.00 90.00
Last column: nearest neighbours and their distance in Å.
Space group I4/mmm (No. 139)
Inequivalent atoms, fractional coordinates:
K 0.0000 0.0000 0.0000 x2  8 P 3.53, 8 Na 3.70
Na 0.0000 0.5000 0.2500 x4  4 P 2.95
P 0.0000 0.0000 0.4048 x4  1 P 2.16

Values from the calculation:
Volume, Å³ per cell: 256
Offset from the most stable computed form, kJ/mol of atoms: 0.0
Raw total energy, eV/cell: -32.23
Formation energy, kJ/mol of atoms: -30

=====

Os3PtO | PBE-GGA | relaxed

Lattice parameters (Å, degrees): 4.0860 4.0860 4.0860 90.00 90.00 90.00
Last column: nearest neighbours and their distance in Å.
Space group Pm-3m (No. 221)
Inequivalent atoms, fractional coordinates:
Os 0.0000 0.0000 0.5000 x3  2 O 2.04
Pt 0.5000 0.5000 0.5000 x1  12 Os 2.89
O 0.0000 0.0000 0.0000 x1  6 Os 2.04

Values from the calculation:
Volume, Å³ per cell: 68
Offset from the most stable computed form, kJ/mol of atoms: 0.0
Raw total energy, eV/cell: -40.41

=====

Hf2Tl2O7 | PBE-GGA | relaxed

Lattice parameters (Å, degrees): 10.6348 10.6348 10.6348 90.00 90.00 90.00
Last column: nearest neighbours and their distance in Å.
Space group Fd-3m (No. 227, origin choice 2)
Inequivalent atoms, fractional coordinates:
Hf 0.0000 0.0000 0.0000 x16  6 O 2.08
Tl 0.0000 0.0000 0.5000 x16  2 O 2.30
O 0.0830 0.3750 0.3750 x48  2 Hf 2.08
O 0.1250 0.1250 0.6250 x8  4 Tl 2.30

Values from the calculation:
Volume, Å³ per cell: 1203
Raw total energy, eV/cell: -659.15

=====

Tb2SbHRh6 | PBE-GGA | relaxed

Lattice parameters (Å, degrees): 8.8240 8.8048 6.0594 90.00 133.29 90.00
Last column: nearest neighbours and their distance in Å.
Space group C2/m (No. 12)
Inequivalent atoms, fractional coordinates:
Tb 0.0000 0.2443 0.0000 x4  12 Rh 3.05-3.22
Sb 0.0000 0.0000 0.5000 x2  6 Rh 2.47-2.48
H 0.0000 0.5000 0.5000 x2  6 Rh 1.93-1.94
Rh 0.0000 0.2810 0.5000 x4  1 H 1.93
Rh 0.2117 0.5000 0.4836 x4  1 H 1.94
Rh 0.2122 0.5000 0.9403 x4  1 H 1.94

Values from the calculation:
Volume, Å³ per cell: 343
Raw total energy, eV/cell: -131.23

=====

AcPmPr4 | PBE-GGA | relaxed

Lattice parameters (Å, degrees): 5.9424 10.2279 7.2916 90.00 90.02 90.00
Last column: nearest neighbours and their distance in Å.
Space group C2/m (No. 12)
Inequivalent atoms, fractional coordinates:
Ac 0.0000 0.0000 0.0000 x2  2 Pm 3.65, 12 Pr 3.89-3.91
Pm 0.0000 0.0000 0.5000 x2  2 Ac 3.65, 12 Pr 3.84-3.86
Pr 0.0009 0.3327 0.7428 x8  5 Pr 3.42-3.75

Values from the calculation:
Volume, Å³ per cell: 443
Offset from the most stable computed form, kJ/mol of atoms: 0.0
Raw total energy, eV/cell: -55.48
Formation energy, kJ/mol of atoms: 4

=====

DyPuGeSe | PBE-GGA | relaxed

Lattice parameters (Å, degrees): 4.1474 4.1474 20.2758 90.00 90.00 120.00
Last column: nearest neighbours and their distance in Å.
Space group R3m (No. 160, hexagonal axes)
Inequivalent atoms, fractional coordinates:
Dy 0.0000 0.0000 0.0000 x3  3 Ge 2.91, 3 Se 2.95
Pu 0.0000 0.0000 0.5038 x3  3 Ge 2.90, 3 Se 2.95
Ge 0.0000 0.0000 0.2516 x3  3 Pu 2.90, 3 Dy 2.91
Se 0.0000 0.0000 0.7519 x3  3 Pu 2.95, 3 Dy 2.95

Values from the calculation:
Volume, Å³ per cell: 302
Raw total energy, eV/cell: -94.71

=====

KClF5 | PBE-GGA | relaxed

Lattice parameters (Å, degrees): 9.6144 5.7681 9.1806 90.00 117.77 90.00
Last column: nearest neighbours and their distance in Å.
Space group C2/c (No. 15)
Inequivalent atoms, fractional coordinates:
K 0.0000 0.0016 0.2500 x4  8 F 2.81-2.94
Cl 0.0000 0.5000 0.0000 x4  4 F 1.78-1.80
F 0.0000 0.4918 0.7500 x4  2 Cl 2.30
F 0.1145 0.2367 0.5518 x8  1 Cl 1.80
F 0.1747 0.3291 0.0929 x8  1 Cl 1.78

Values from the calculation:
Volume, Å³ per cell: 451
Raw total energy, eV/cell: -84.70